[1]
PaNiGe2 | Alexandria | GGA-PBE | optimized geometry; symmetry = R-3m (166); ΔH_f (0 K) = 0.70 eV/atom
1.0
4.859 0.000 0.000
2.430 4.208 0.000
2.430 1.403 5.594
Ni Ge Pa
1 2 1
Direct
0.000 0.000 0.000
0.132 0.132 0.603
0.868 0.868 0.397
0.500 0.500 0.500

---

[2]
Ac4Hg2H | Alexandria | GGA-PBE | optimized geometry; symmetry = I4/mmm (139)
1.0
-4.843 -0.018 -1.850
0.579 -4.939 -1.469
-0.776 -0.135 9.297
H Ac Hg
1 4 2
Direct
0.000 0.000 0.000
0.814 0.814 0.629
0.186 0.186 0.371
0.000 0.500 0.000
0.500 0.000 0.000
0.629 0.629 0.259
0.371 0.371 0.741

---

[3]
Ac8Ir3NCl4 | Alexandria | GGA-PBE | optimized geometry; symmetry = C2/m (12); uncorrected formation energy = -1.2495 eV/atom
1.0
-3.963 -5.214 -5.311
-3.371 -4.883 7.309
-1.681 8.382 -0.281
Ac Ir N Cl
8 3 1 4
Direct
0.220 0.692 0.975
0.238 0.704 0.475
0.265 0.297 0.529
0.755 0.692 0.975
0.245 0.308 0.025
0.735 0.703 0.471
0.762 0.296 0.525
0.780 0.308 0.025
0.500 0.500 0.000
0.500 0.500 0.500
0.000 0.500 0.500
0.000 0.500 0.000
0.500 0.000 0.000
0.500 0.000 0.500
0.000 0.000 0.000
0.000 0.000 0.500

---

[4]
Pm4Y4Tl | Alexandria | GGA-PBE | optimized geometry; symmetry = I4/mmm (139); ΔH_f (0 K) = -0.05 eV/atom
1.0
-4.746 -0.198 -1.288
-0.692 -5.254 -6.045
-3.504 -5.747 4.394
Pm Y Tl
4 4 1
Direct
0.665 0.335 0.336
0.335 0.665 0.664
0.000 0.664 0.335
0.000 0.336 0.665
0.661 0.679 0.000
0.339 0.321 0.000
0.661 0.000 0.679
0.339 0.000 0.321
0.000 0.000 0.000

---

[5]
NiPd2AuN | Alexandria | GGA-PBE | optimized geometry; symmetry = P4/mmm (123); uncorrected formation energy = 0.1178 eV/atom
1.0
-0.641 0.274 4.264
1.820 -3.884 0.523
3.254 1.577 0.387
Ni Au Pd N
1 1 2 1
Direct
0.000 0.000 0.500
0.500 0.500 0.500
0.000 0.500 0.000
0.500 0.000 0.000
0.000 0.000 0.000

---

[6]
POs2Cl | Alexandria | GGA-PBE | optimized geometry; relative energy among the computed polymorphs = 5.9 kJ per mole of atoms; symmetry = Pm (6); uncorrected formation energy = 0.2843 eV/atom
1.0
3.601 0.000 0.000
0.000 2.872 -0.001
0.000 1.625 7.329
Cl Os P
1 2 1
Direct
0.500 0.919 0.826
0.000 0.788 0.058
0.500 0.188 0.234
0.000 0.605 0.382

---

For each record above, in turn, the calculated calculated total energy values are -5.43; -3.19; -5.95; -5.30; -5.44; -7.14 eV per atom.